Compound: CaLaCd2Se
Source: the Alexandria database
Functional: GGA-PBE
Structure: relaxed

Unit cell a=5.5383 b=5.5383 c=5.5819 alpha=90.00 beta=90.00 gamma=90.00
With the nearest neighbours (Å) after each atom.
Space group P4/mmm (No. 123)
Asymmetric unit:
Ca  0.0000  0.0000  0.0000 (multiplicity 1)  4 La 3.92, 8 Cd 3.93
La  0.5000  0.5000  0.0000 (multiplicity 1)  2 Se 2.79
Cd  0.0000  0.5000  0.5000 (multiplicity 2)  2 Se 2.77
Se  0.5000  0.5000  0.5000 (multiplicity 1)  4 Cd 2.77, 2 La 2.79

## Properties
Formation energy (no corrections)   -4.18 kcal/mol of atoms

---

Compound: CaLaSmCd
Source: the Alexandria database
Functional: GGA-PBE
Structure: relaxed

Unit cell a=8.0141 b=8.0141 c=8.0141 alpha=90.00 beta=90.00 gamma=90.00
With the nearest neighbours (Å) after each atom.
Space group F-43m (No. 216)
Asymmetric unit:
Ca  0.0000  0.0000  0.0000 (multiplicity 4)  4 La 3.47, 4 Sm 3.47
La  0.2500  0.2500  0.7500 (multiplicity 4)  4 Cd 3.47, 4 Ca 3.47
Sm  0.2500  0.2500  0.2500 (multiplicity 4)  4 Cd 3.47, 4 Ca 3.47
Cd  0.0000  0.0000  0.5000 (multiplicity 4)  4 Sm 3.47, 4 La 3.47

## Properties
Distance to the lowest polymorph of the same formula   94 meV/atom
Formation energy from the elements   -51 meV/atom

---

Compound: CaLaSmCd
Source: the Alexandria database
Functional: GGA-PBE
Structure: relaxed

Unit cell a=3.7034 b=3.7034 c=9.6376 alpha=90.00 beta=90.00 gamma=90.00
With the nearest neighbours (Å) after each atom.
Space group P4mm (No. 99)
Asymmetric unit:
Ca  0.0000  0.0000  0.0000 (multiplicity 1)  4 Cd 3.33, 4 Ca 3.70
La  0.5000  0.5000  0.3125 (multiplicity 1)  4 Sm 3.66, 4 La 3.70, 4 Ca 3.99
Sm  0.0000  0.0000  0.5773 (multiplicity 1)  4 Cd 3.30, 4 La 3.66
Cd  0.5000  0.5000  0.7860 (multiplicity 1)  4 Sm 3.30, 4 Ca 3.33

## Properties
Distance to the lowest polymorph of the same formula   0 meV/atom
Formation energy from the elements   -145 meV/atom

---

The evaluated density for the records listed, in turn: 4682; 5701; 5550 kg/m3.